## TlZnBr2 (PBE-GGA)

Data for an optimized crystal structure of TlZnBr2.

Its total magnetization is 0.00 μB/f.u. The excess energy over the best structure of this formula in the dataset comes out at 1.22 kcal/mol of atoms.

The structure belongs to space group I-42d (No. 122); the cell edges are 6.6170, 6.6170 and 14.8208 Å and the angles 90.00°, 90.00° and 90.00°. The distinct sites, in fractional coordinates, are Tl at (0.0000, 0.0000, 0.0000), Zn at (0.0000, 0.0000, 0.5000) and Br at (0.1668, 0.2500, 0.6250).

=====

## Tl2ZnBr (PBE-GGA)

Data for an optimized crystal structure of Tl2ZnBr.

Its total magnetization is 0.00 μB/f.u. The excess energy over the best structure of this formula in the dataset comes out at 2.92 kcal/mol of atoms.

The structure belongs to space group I-42d (No. 122); the cell edges are 5.1717, 5.1717 and 20.7005 Å and the angles 90.00°, 90.00° and 90.00°. The distinct sites, in fractional coordinates, are Tl at (0.2311, 0.2500, 0.1250), Zn at (0.0000, 0.0000, 0.0000) and Br at (0.0000, 0.0000, 0.5000).